Record 1
A PBEsol-optimized structure of CsCrS2Cl. Source: Alexandria, functional meta-GGA SCAN.

a b c (Å): 5.281 5.281 5.996
angles (deg): 90.00 90.00 90.00
Fractional positions:
Cs (0.000, 0.000, 0.000)
Cr (0.500, 0.500, 0.500)
S (0.000, 0.500, 0.000)
S (0.500, 0.000, 0.000)
Cl (0.000, 0.000, 0.500)

## Properties
Space group = P4/mmm
Uncorrected formation energy = 837 meV/atom


Record 2
A PBEsol-optimized structure of CoCuP. Source: Alexandria, functional meta-GGA SCAN.

a b c (Å): 2.657 2.657 5.573
angles (deg): 90.00 90.00 120.00
Fractional positions:
Co (0.000, 0.000, 0.000)
Cu (0.333, 0.667, 0.635)
P (0.667, 0.333, 0.282)

## Properties
Space group = P3m1
Formation enthalpy at 0 K = 0.36 eV/f.u.


Record 3
A PBEsol-optimized structure of SrCrSn2W. Source: Alexandria, functional meta-GGA SCAN.

a b c (Å): 5.229 5.229 4.817
angles (deg): 90.00 90.00 90.00
Fractional positions:
Sr (0.000, 0.000, 0.000)
Cr (0.500, 0.500, 0.000)
Sn (0.000, 0.500, 0.500)
Sn (0.500, 0.000, 0.500)
W (0.500, 0.500, 0.500)

## Properties
Space group = P4/mmm
Formation enthalpy at 0 K = 1.44 eV/f.u.


Record 4
A PBEsol-optimized structure of Ca2FeSe. Source: Alexandria, functional meta-GGA SCAN.

a b c (Å): 4.070 5.846 5.846
angles (deg): 40.30 90.00 90.00
Fractional positions:
Ca (0.000, 0.000, 0.000)
Ca (0.500, 0.287, 0.287)
Fe (0.000, 0.710, 0.710)
Se (0.500, 0.579, 0.579)

## Properties
Space group = Amm2
Uncorrected formation energy = -622 meV/atom


Record 5
A PBEsol-optimized structure of ReSiPt3. Source: Alexandria, functional meta-GGA SCAN.

a b c (Å): 4.428 4.428 4.428
angles (deg): 90.00 90.00 90.00
Fractional positions:
Re (0.000, 0.000, 0.000)
Si (0.500, 0.500, 0.500)
Pt (0.000, 0.500, 0.500)
Pt (0.500, 0.000, 0.500)
Pt (0.500, 0.500, 0.000)

## Properties
Space group = Pm-3m
Uncorrected formation energy = 890 meV/atom


Record 6
A PBEsol-optimized structure of NaCu2O3. Source: Alexandria, functional meta-GGA SCAN.

a b c (Å): 3.752 10.000 3.854
angles (deg): 90.00 90.00 90.00
Fractional positions:
Na (0.250, 0.250, 0.169)
Na (0.750, 0.750, 0.831)
Cu (0.250, 0.592, 0.358)
Cu (0.250, 0.908, 0.358)
Cu (0.750, 0.092, 0.642)
Cu (0.750, 0.408, 0.642)
O (0.250, 0.074, 0.577)
O (0.250, 0.426, 0.577)
O (0.250, 0.750, 0.131)
O (0.750, 0.250, 0.869)
O (0.750, 0.574, 0.423)
O (0.750, 0.926, 0.423)

## Properties
Space group = Pmmn
Uncorrected formation energy = -998 meV/atom


Record 7
A PBEsol-optimized structure of AsPIrS2. Source: Alexandria, functional meta-GGA SCAN.

a b c (Å): 4.462 4.462 4.580
angles (deg): 90.00 90.00 90.00
Fractional positions:
As (0.000, 0.000, 0.000)
P (0.000, 0.000, 0.500)
Ir (0.500, 0.500, 0.500)
S (0.000, 0.500, 0.000)
S (0.500, 0.000, 0.000)

## Properties
Space group = P4/mmm
Uncorrected formation energy = 1519 meV/atom


Record 8
A PBEsol-optimized structure of HgSb3Pd. Source: Alexandria, functional meta-GGA SCAN.

a b c (Å): 5.178 5.178 5.178
angles (deg): 90.00 90.00 90.00
Fractional positions:
Hg (0.000, 0.000, 0.000)
Sb (0.000, 0.500, 0.500)
Sb (0.500, 0.000, 0.500)
Sb (0.500, 0.500, 0.000)
Pd (0.500, 0.500, 0.500)

## Properties
Space group = Pm-3m
Uncorrected formation energy = 382 meV/atom


Record 9
A PBEsol-optimized structure of MnZnSbTe2. Source: Alexandria, functional meta-GGA SCAN.

a b c (Å): 5.099 5.099 4.994
angles (deg): 90.00 90.00 90.00
Fractional positions:
Mn (0.000, 0.000, 0.000)
Zn (0.500, 0.500, 0.500)
Sb (0.000, 0.000, 0.500)
Te (0.000, 0.500, 0.000)
Te (0.500, 0.000, 0.000)

## Properties
Space group = P4/mmm
Uncorrected formation energy = 388 meV/atom


Record 10
A PBEsol-optimized structure of ZrZnIr. Source: Alexandria, functional meta-GGA SCAN.

a b c (Å): 5.502 5.502 5.502
angles (deg): 147.28 147.28 46.95
Fractional positions:
Zr (0.000, 0.000, 0.000)
Zn (0.309, 0.309, 0.000)
Ir (0.668, 0.668, 0.000)

## Properties
Space group = I4mm
Formation enthalpy at 0 K = -1.75 eV/f.u.


Record 11
A PBEsol-optimized structure of BaIn2Pt. Source: Alexandria, functional meta-GGA SCAN.

a b c (Å): 5.389 5.389 5.389
angles (deg): 124.31 114.21 91.50
Fractional positions:
Ba (0.000, 0.000, 0.000)
In (0.289, 0.789, 0.500)
In (0.534, 0.534, 0.000)
Pt (0.658, 0.158, 0.500)

## Properties
Space group = Imm2
Formation enthalpy at 0 K = -1.61 eV/f.u.


Record 12
A PBEsol-optimized structure of KLi2Au. Source: Alexandria, functional meta-GGA SCAN.

a b c (Å): 5.804 5.804 3.428
angles (deg): 105.72 105.72 114.17
Fractional positions:
K (0.000, 0.000, 0.000)
Li (0.000, 0.500, 0.500)
Li (0.500, 0.000, 0.500)
Au (0.500, 0.500, 0.000)

## Properties
Space group = C2/m
Formation enthalpy at 0 K = -0.14 eV/f.u.


Record 13
A PBEsol-optimized structure of CoAs5. Source: Alexandria, functional meta-GGA SCAN.

a b c (Å): 5.384 5.384 5.384
angles (deg): 60.00 60.00 60.00
Fractional positions:
Co (0.000, 0.000, 0.000)
As (0.125, 0.625, 0.625)
As (0.250, 0.250, 0.250)
As (0.625, 0.125, 0.625)
As (0.625, 0.625, 0.125)
As (0.625, 0.625, 0.625)

## Properties
Space group = F-43m
Formation enthalpy at 0 K = 5.08 eV/f.u.


Record 14
A PBEsol-optimized structure of ScSbRu2. Source: Alexandria, functional meta-GGA SCAN.

a b c (Å): 4.610 4.610 5.061
angles (deg): 101.65 101.65 38.94
Fractional positions:
Sc (0.000, 0.000, 0.000)
Sb (0.500, 0.500, 0.500)
Ru (0.248, 0.248, 0.738)
Ru (0.752, 0.752, 0.262)

## Properties
Space group = C2/m
Uncorrected formation energy = -247 meV/atom


Record 15
A PBEsol-optimized structure of TmMg2. Source: Alexandria, functional meta-GGA SCAN.

a b c (Å): 5.930 5.930 5.930
angles (deg): 60.00 60.00 60.00
Fractional positions:
Tm (0.125, 0.125, 0.125)
Tm (0.875, 0.875, 0.875)
Mg (0.000, 0.500, 0.500)
Mg (0.500, 0.000, 0.500)
Mg (0.500, 0.500, 0.000)
Mg (0.500, 0.500, 0.500)

## Properties
Space group = Fd-3m
Formation enthalpy at 0 K = -0.12 eV/f.u.


Record 16
A PBEsol-optimized structure of CaLaBe2. Source: Alexandria, functional meta-GGA SCAN.

a b c (Å): 3.519 3.519 7.036
angles (deg): 90.00 90.00 90.00
Fractional positions:
Ca (0.000, 0.000, 0.000)
La (0.000, 0.000, 0.500)
Be (0.500, 0.500, 0.251)
Be (0.500, 0.500, 0.749)

## Properties
Space group = P4/mmm
Formation enthalpy at 0 K = 1.27 eV/f.u.


Record 17
A PBEsol-optimized structure of Li2MoRu. Source: Alexandria, functional meta-GGA SCAN.

a b c (Å): 2.532 4.630 4.856
angles (deg): 90.00 101.06 90.00
Fractional positions:
Li (0.210, 0.000, 0.260)
Li (0.790, 0.000, 0.740)
Mo (0.500, 0.500, 0.000)
Ru (0.000, 0.500, 0.500)

## Properties
Space group = P2/m
Formation enthalpy at 0 K = 1.12 eV/f.u.


Record 18
A PBEsol-optimized structure of CaLaTe2. Source: Alexandria, functional meta-GGA SCAN.

a b c (Å): 4.485 4.485 6.356
angles (deg): 90.00 90.00 90.00
Fractional positions:
Ca (0.000, 0.000, 0.000)
La (0.500, 0.500, 0.500)
Te (0.000, 0.000, 0.500)
Te (0.500, 0.500, 0.000)

## Properties
Space group = P4/mmm
Uncorrected formation energy = -1757 meV/atom


Record 19
A PBEsol-optimized structure of Zr3InRu. Source: Alexandria, functional meta-GGA SCAN.

a b c (Å): 4.930 4.930 4.930
angles (deg): 90.00 90.00 90.00
Fractional positions:
Zr (0.000, 0.000, 0.500)
Zr (0.000, 0.500, 0.000)
Zr (0.500, 0.000, 0.000)
In (0.500, 0.500, 0.500)
Ru (0.000, 0.000, 0.000)

## Properties
Space group = Pm-3m
Formation enthalpy at 0 K = 0.03 eV/f.u.


Record 20
A PBEsol-optimized structure of Ba2MoPO. Source: Alexandria, functional meta-GGA SCAN.

a b c (Å): 5.474 5.474 3.945
angles (deg): 90.00 90.00 90.00
Fractional positions:
Ba (0.000, 0.500, 0.000)
Ba (0.500, 0.000, 0.000)
Mo (0.000, 0.000, 0.500)
P (0.500, 0.500, 0.500)
O (0.000, 0.000, 0.000)

## Properties
Space group = P4/mmm
Uncorrected formation energy = -725 meV/atom


Record 21
A PBEsol-optimized structure of ZrRhI2. Source: Alexandria, functional meta-GGA SCAN.

a b c (Å): 4.915 4.915 4.915
angles (deg): 60.00 60.00 60.00
Fractional positions:
Zr (0.000, 0.000, 0.000)
Rh (0.500, 0.500, 0.500)
I (0.250, 0.250, 0.250)
I (0.750, 0.750, 0.750)

## Properties
Space group = Fm-3m
Uncorrected formation energy = 179 meV/atom


Record 22
A PBEsol-optimized structure of Zn2Ag. Source: Alexandria, functional meta-GGA SCAN.

a b c (Å): 4.423 4.423 5.280
angles (deg): 90.00 90.00 120.00
Fractional positions:
Zn (0.000, 0.000, 0.000)
Zn (0.000, 0.000, 0.500)
Zn (0.333, 0.667, 0.250)
Zn (0.667, 0.333, 0.750)
Ag (0.333, 0.667, 0.750)
Ag (0.667, 0.333, 0.250)

## Properties
Space group = P6_3/mmc
Formation enthalpy at 0 K = 0.13 eV/f.u.


Record 23
A PBEsol-optimized structure of Rb2AgI3. Source: Alexandria, functional meta-GGA SCAN.

a b c (Å): 10.156 4.824 19.751
angles (deg): 90.00 90.00 90.00
Fractional positions:
Rb (0.081, 0.250, 0.211)
Rb (0.244, 0.750, 0.458)
Rb (0.256, 0.250, 0.958)
Rb (0.419, 0.750, 0.711)
Rb (0.581, 0.250, 0.289)
Rb (0.744, 0.750, 0.042)
Rb (0.756, 0.250, 0.542)
Rb (0.919, 0.750, 0.789)
Ag (0.138, 0.250, 0.636)
Ag (0.362, 0.750, 0.136)
Ag (0.638, 0.250, 0.864)
Ag (0.862, 0.750, 0.364)
I (0.006, 0.750, 0.602)
I (0.118, 0.750, 0.070)
I (0.186, 0.250, 0.776)
I (0.314, 0.750, 0.276)
I (0.382, 0.250, 0.570)
I (0.494, 0.250, 0.102)
I (0.506, 0.750, 0.898)
I (0.618, 0.750, 0.430)
I (0.686, 0.250, 0.724)
I (0.814, 0.750, 0.224)
I (0.882, 0.250, 0.930)
I (0.994, 0.250, 0.398)

## Properties
Space group = Pnma
Uncorrected formation energy = -1204 meV/atom


Record 24
A PBEsol-optimized structure of ErBiPt. Source: Alexandria, functional meta-GGA SCAN.

a b c (Å): 4.673 4.673 4.673
angles (deg): 60.00 60.00 60.00
Fractional positions:
Er (0.000, 0.000, 0.000)
Bi (0.500, 0.500, 0.500)
Pt (0.250, 0.250, 0.250)

## Properties
Space group = F-43m
Formation enthalpy at 0 K = -3.83 eV/f.u.


Record 25
A PBEsol-optimized structure of MgReTc2. Source: Alexandria, functional meta-GGA SCAN.

a b c (Å): 2.980 4.365 4.465
angles (deg): 90.00 90.00 90.00
Fractional positions:
Mg (0.000, 0.000, 0.000)
Re (0.500, 0.000, 0.500)
Tc (0.000, 0.500, 0.500)
Tc (0.500, 0.500, 0.000)

## Properties
Space group = Pmmm
Formation enthalpy at 0 K = 1.20 eV/f.u.


Record 26
A PBEsol-optimized structure of TaI2BrN. Source: Alexandria, functional meta-GGA SCAN.

a b c (Å): 5.606 5.606 3.898
angles (deg): 90.00 90.00 90.00
Fractional positions:
Ta (0.000, 0.000, 0.000)
I (0.000, 0.500, 0.000)
I (0.500, 0.000, 0.000)
Br (0.500, 0.500, 0.500)
N (0.000, 0.000, 0.500)

## Properties
Space group = P4/mmm
Uncorrected formation energy = 115 meV/atom


Record 27
A PBEsol-optimized structure of HfTaAg3. Source: Alexandria, functional meta-GGA SCAN.

a b c (Å): 4.889 4.889 4.889
angles (deg): 90.00 90.00 90.00
Fractional positions:
Hf (0.000, 0.000, 0.000)
Ta (0.500, 0.500, 0.500)
Ag (0.000, 0.500, 0.500)
Ag (0.500, 0.000, 0.500)
Ag (0.500, 0.500, 0.000)

## Properties
Space group = Pm-3m
Formation enthalpy at 0 K = 8.30 eV/f.u.


Record 28
A PBEsol-optimized structure of Li2SnS2. Source: Alexandria, functional meta-GGA SCAN.

a b c (Å): 7.185 7.185 3.400
angles (deg): 90.00 90.00 90.00
Fractional positions:
Li (0.135, 0.365, 0.000)
Li (0.365, 0.865, 0.000)
Li (0.635, 0.135, 0.000)
Li (0.865, 0.635, 0.000)
Sn (0.000, 0.000, 0.500)
Sn (0.500, 0.500, 0.500)
S (0.174, 0.674, 0.500)
S (0.326, 0.174, 0.500)
S (0.674, 0.826, 0.500)
S (0.826, 0.326, 0.500)

## Properties
Space group = P4/mbm
Uncorrected formation energy = -810 meV/atom